# ZrWSe (PBE, relaxed)
# Energy relative to the elements, uncorrected in eV/atom: 0.462
# Polymorph energy (0 for the lowest one) in eV per atom: 1.110
# Total DFT energy (no corrections) in eV per atom: -7.867
# Crystal system: cubic
data_ZrWSe
_chemical_formula_sum 'Zr4 W4 Se4'
_cell_length_a 6.1916
_cell_length_b 6.1916
_cell_length_c 6.1916
_cell_angle_alpha 90.00
_cell_angle_beta 90.00
_cell_angle_gamma 90.00
_space_group_name_H-M_alt 'F -4 3 m'
_space_group_IT_number 216
_space_group_name_Hall 'F -4 2 3'
loop_
_atom_site_label
_atom_site_fract_x
_atom_site_fract_y
_atom_site_fract_z
Zr1 0.0000 0.0000 0.0000
W1 0.0000 0.0000 0.5000
Se1 0.2500 0.2500 0.2500